(1)
The following is a DFT calculation (PBE-GGA) of K2BaSbO4 after structural relaxation.

Computed properties:
The formation energy (no corrections) comes out at -1.69 eV per atom.

```
K2BaSbO4
1.0
-3.062 3.062 5.061
3.062 -3.062 5.061
3.062 3.062 -5.061
K Ba Sb O
2 1 1 4
Direct
0.000 0.000 0.000
0.750 0.250 0.500
0.500 0.500 0.000
0.250 0.750 0.500
0.171 0.653 0.111
0.347 0.458 0.518
0.542 0.060 0.889
0.940 0.829 0.482
```


(2)
The following is a DFT calculation (PBE-GGA) of Gd2MgIrO6 after structural relaxation.

Computed properties:
The formation energy (no corrections) comes out at -2.49 eV per atom.

```
Gd2MgIrO6
1.0
5.396 0.000 0.000
0.000 5.747 0.000
-5.342 0.000 7.766
Gd Mg Ir O
4 2 2 12
Direct
0.230 0.070 0.251
0.230 0.430 0.751
0.770 0.570 0.249
0.770 0.930 0.749
0.500 0.000 0.000
0.500 0.500 0.500
0.000 0.000 0.500
0.000 0.500 0.000
0.128 0.200 0.942
0.128 0.300 0.442
0.251 0.696 0.943
0.251 0.804 0.443
0.360 0.039 0.747
0.360 0.461 0.247
0.640 0.539 0.753
0.640 0.961 0.253
0.749 0.196 0.557
0.749 0.304 0.057
0.872 0.700 0.558
0.872 0.800 0.058
```


(3)
The following is a DFT calculation (PBE-GGA) of Ca5SmAg6 after structural relaxation.

Computed properties:
The formation energy is -0.31 eV/atom.

```
Ca5SmAg6
1.0
2.621 -7.854 0.000
2.621 7.854 0.000
0.000 0.000 7.445
Ca Sm Ag
5 1 6
Direct
0.000 0.000 0.000
0.332 0.668 0.500
0.334 0.666 0.000
0.666 0.334 0.000
0.668 0.332 0.500
0.000 0.000 0.500
0.163 0.837 0.251
0.163 0.837 0.749
0.500 0.500 0.262
0.500 0.500 0.738
0.837 0.163 0.251
0.837 0.163 0.749
```